! AlCuP2O (PBE, relaxed); values from VASP
&SYSTEM
  ibrav = 0, nat = 5, ntyp = 4
/
ATOMIC_SPECIES
O 16.00 O.upf
P 30.97 P.upf
Al 26.98 Al.upf
Cu 63.55 Cu.upf
ATOMIC_POSITIONS crystal
O 0.0000 0.0000 0.5000
P 0.0000 0.5000 0.0000
P 0.5000 0.0000 0.0000
Al 0.5000 0.5000 0.5000
Cu 0.0000 0.0000 0.0000
CELL_PARAMETERS angstrom
-0.8438 4.2214 1.8826
-0.8481 -2.0227 4.1553
3.3916 0.3034 0.8399
! raw formation energy	409	meV/atom
! space-group type	P4/mmm
! calculated density	3.61	g cm⁻³
! Fermi-level density of states	3.69	states/eV/cell

! AlCuP2O (PBE, relaxed); values from VASP
&SYSTEM
  ibrav = 0, nat = 5, ntyp = 4
/
ATOMIC_SPECIES
O 16.00 O.upf
P 30.97 P.upf
Al 26.98 Al.upf
Cu 63.55 Cu.upf
ATOMIC_POSITIONS crystal
O 0.0000 0.0000 0.5000
P 0.0000 0.5000 0.0000
P 0.5000 0.0000 0.0000
Al 0.0000 0.0000 0.0000
Cu 0.5000 0.5000 0.5000
CELL_PARAMETERS angstrom
-1.7747 4.5285 0.8204
-4.4709 -1.4878 -1.4585
-0.7318 -0.8504 3.1108
! raw formation energy	12	meV/atom
! space-group type	P4/mmm
! calculated density	3.48	g cm⁻³
! Fermi-level density of states	2.51	states/eV/cell

! AlCuPO2 (PBE, relaxed); values from VASP
&SYSTEM
  ibrav = 0, nat = 5, ntyp = 4
/
ATOMIC_SPECIES
O 16.00 O.upf
P 30.97 P.upf
Al 26.98 Al.upf
Cu 63.55 Cu.upf
ATOMIC_POSITIONS crystal
O 0.0000 0.5000 0.0000
O 0.5000 0.0000 0.0000
P 0.0000 0.0000 0.5000
Al 0.0000 0.0000 0.0000
Cu 0.5000 0.5000 0.5000
CELL_PARAMETERS angstrom
-2.3938 2.4880 -0.4072
-2.3291 -2.3975 -0.9558
-1.6904 -0.6751 5.8125
! raw formation energy	-723	meV/atom
! space-group type	P4/mmm
! calculated density	3.46	g cm⁻³
! Fermi-level density of states	2.96	states/eV/cell

! AlCuPO2 (PBE, relaxed); values from VASP
&SYSTEM
  ibrav = 0, nat = 5, ntyp = 4
/
ATOMIC_SPECIES
O 16.00 O.upf
P 30.97 P.upf
Al 26.98 Al.upf
Cu 63.55 Cu.upf
ATOMIC_POSITIONS crystal
O 0.0000 0.5000 0.0000
O 0.5000 0.0000 0.0000
P 0.0000 0.0000 0.5000
Al 0.5000 0.5000 0.5000
Cu 0.0000 0.0000 0.0000
CELL_PARAMETERS angstrom
3.6835 0.0000 0.0000
0.0000 3.6835 0.0000
0.0000 0.0000 4.7804
! raw formation energy	42	meV/atom
! space-group type	P4/mmm
! calculated density	3.93	g cm⁻³
! Fermi-level density of states	2.72	states/eV/cell

! RbAlCuP2O8 (PBE, relaxed); values from VASP
&SYSTEM
  ibrav = 0, nat = 52, ntyp = 5
/
ATOMIC_SPECIES
Rb 85.47 Rb.upf
Al 26.98 Al.upf
Cu 63.55 Cu.upf
P 30.97 P.upf
O 16.00 O.upf
ATOMIC_POSITIONS crystal
Rb 0.1728 0.7880 0.7816
Rb 0.6728 0.2120 0.7184
Rb 0.8272 0.2120 0.2184
Rb 0.3272 0.7880 0.2816
Al 0.3697 0.2506 0.6101
Al 0.8697 0.7494 0.8899
Al 0.6303 0.7494 0.3899
Al 0.1303 0.2506 0.1101
Cu 0.4588 0.7626 0.9456
Cu 0.9588 0.2374 0.5544
Cu 0.5412 0.2374 0.0544
Cu 0.0412 0.7626 0.4456
P 0.3285 0.2757 0.9474
P 0.8285 0.7243 0.5526
P 0.6715 0.7243 0.0526
P 0.1715 0.2757 0.4474
P 0.4860 0.7269 0.6608
P 0.9860 0.2731 0.8392
P 0.5140 0.2731 0.3392
P 0.0140 0.7269 0.1608
O 0.4242 0.2331 0.4290
O 0.9242 0.7669 0.0710
O 0.5758 0.7669 0.5710
O 0.0758 0.2331 0.9290
O 0.4054 0.5914 0.5897
O 0.9054 0.4086 0.9103
O 0.5946 0.4086 0.4103
O 0.0946 0.5914 0.0897
O 0.3420 0.5658 0.9671
O 0.8420 0.4342 0.5329
O 0.6580 0.4342 0.0329
O 0.1580 0.5658 0.4671
O 0.3110 0.2498 0.7915
O 0.8110 0.7502 0.7085
O 0.6890 0.7502 0.2085
O 0.1890 0.2498 0.2915
O 0.5117 0.5621 0.8062
O 0.0117 0.4379 0.6938
O 0.4883 0.4379 0.1938
O 0.9883 0.5621 0.3062
O 0.4488 0.9961 0.6916
O 0.9488 0.0039 0.8084
O 0.5512 0.0039 0.3084
O 0.0512 0.9961 0.1916
O 0.4144 0.0974 0.0101
O 0.9144 0.9026 0.4899
O 0.5856 0.9026 0.9899
O 0.0856 0.0974 0.5101
O 0.2579 0.1683 0.5380
O 0.7579 0.8317 0.9620
O 0.7421 0.8317 0.4620
O 0.2421 0.1683 0.0380
CELL_PARAMETERS angstrom
14.1632 0.0000 0.0000
0.0000 5.1594 -0.0436
0.0000 1.6082 9.4431
! raw formation energy	-2184	meV/atom
! space-group type	P2_1/c
! calculated density	3.52	g cm⁻³

! PaAlCuO6 (PBE, relaxed); values from VASP
&SYSTEM
  ibrav = 0, nat = 9, ntyp = 4
/
ATOMIC_SPECIES
Pa 231.04 Pa.upf
Al 26.98 Al.upf
Cu 63.55 Cu.upf
O 16.00 O.upf
ATOMIC_POSITIONS crystal
Pa 0.0000 0.3333 0.6667
Al 0.5000 0.6667 0.3333
Cu 0.5000 0.0000 0.0000
O 0.7238 0.6834 0.6591
O 0.7238 0.3409 0.0243
O 0.7238 0.9757 0.3166
O 0.2762 0.3409 0.3166
O 0.2762 0.6834 0.0243
O 0.2762 0.9757 0.6591
CELL_PARAMETERS angstrom
-3.0499 0.6929 3.6409
-1.0746 -4.8300 0.0190
3.7126 1.7196 2.7828
! raw formation energy	-2229	meV/atom
! space-group type	P312
! calculated density	6.81	g cm⁻³
! Fermi-level density of states	3.89	states/eV/cell

! PaAlCu2O8 (PBE, relaxed); values from VASP
&SYSTEM
  ibrav = 0, nat = 12, ntyp = 4
/
ATOMIC_SPECIES
Pa 231.04 Pa.upf
Al 26.98 Al.upf
Cu 63.55 Cu.upf
O 16.00 O.upf
ATOMIC_POSITIONS crystal
Pa 0.0000 0.0000 0.0000
Al 0.2500 0.7500 0.5000
Cu 0.7500 0.2500 0.5000
Cu 0.5000 0.5000 0.0000
O 0.3505 0.0195 0.3309
O 0.2934 0.4864 0.1931
O 0.2934 0.1003 0.8069
O 0.6886 0.0195 0.6691
O 0.8997 0.7066 0.1931
O 0.9805 0.3114 0.3309
O 0.9805 0.6495 0.6691
O 0.5136 0.7066 0.8069
CELL_PARAMETERS angstrom
5.7573 0.1174 0.0000
-2.4483 5.2121 0.0000
-1.6545 -2.6647 4.8293
! raw formation energy	-1428	meV/atom
! space-group type	I-4m2
! calculated density	5.82	g cm⁻³
! Fermi-level density of states	8.26	states/eV/cell

! PaAlCuO5 (PBE, relaxed); values from VASP
&SYSTEM
  ibrav = 0, nat = 16, ntyp = 4
/
ATOMIC_SPECIES
Pa 231.04 Pa.upf
Al 26.98 Al.upf
Cu 63.55 Cu.upf
O 16.00 O.upf
ATOMIC_POSITIONS crystal
Pa 0.3129 0.6871 0.2500
Pa 0.6871 0.3129 0.7500
Al 0.0000 0.0000 0.5000
Al 0.0000 0.0000 0.0000
Cu 0.6627 0.3373 0.2500
Cu 0.3373 0.6627 0.7500
O 0.0706 0.9294 0.2500
O 0.9294 0.0706 0.7500
O 0.8551 0.2748 0.0662
O 0.1449 0.7252 0.9338
O 0.7252 0.1449 0.4338
O 0.2748 0.8551 0.5662
O 0.6807 0.6675 0.4214
O 0.3193 0.3325 0.5786
O 0.3325 0.3193 0.0786
O 0.6675 0.6807 0.9214
CELL_PARAMETERS angstrom
5.4523 -0.1654 -0.0545
-1.7498 5.1665 -0.0545
-1.5867 -2.1432 6.7800
! raw formation energy	-2428	meV/atom
! space-group type	C2/c
! calculated density	7.10	g cm⁻³
! Fermi-level density of states	2.71	states/eV/cell

! Pm2AlCu2O6 (PBE, relaxed); values from VASP
&SYSTEM
  ibrav = 0, nat = 11, ntyp = 4
/
ATOMIC_SPECIES
Pm 145.00 Pm.upf
Al 26.98 Al.upf
Cu 63.55 Cu.upf
O 16.00 O.upf
ATOMIC_POSITIONS crystal
Pm 0.7878 0.7878 0.6365
Pm 0.2122 0.2122 0.3635
Al 0.0000 0.0000 0.0000
Cu 0.4134 0.4134 0.7599
Cu 0.5866 0.5866 0.2401
O 0.7692 0.7692 0.2573
O 0.2043 0.7692 0.2573
O 0.7692 0.2043 0.2573
O 0.2308 0.7957 0.7427
O 0.7957 0.2308 0.7427
O 0.2308 0.2308 0.7427
CELL_PARAMETERS angstrom
5.7285 0.0000 0.0000
2.8643 4.9611 0.0000
2.8643 1.6537 4.8799
! raw formation energy	-2068	meV/atom
! space-group type	R-3m
! calculated density	6.47	g cm⁻³
! Fermi-level density of states	6.67	states/eV/cell

! Pr3Al2CuO9 (PBE, relaxed); values from VASP
&SYSTEM
  ibrav = 0, nat = 15, ntyp = 4
/
ATOMIC_SPECIES
Pr 140.91 Pr.upf
Al 26.98 Al.upf
Cu 63.55 Cu.upf
O 16.00 O.upf
ATOMIC_POSITIONS crystal
Pr 0.3333 0.6667 0.6583
Pr 0.0000 0.0000 0.0000
Pr 0.6667 0.3333 0.3417
Al 0.3333 0.6667 0.1579
Al 0.6667 0.3333 0.8421
Cu 0.0000 0.0000 0.5000
O 0.8294 0.1706 0.6715
O 0.8294 0.6589 0.6715
O 0.3411 0.1706 0.6715
O 0.6589 0.8294 0.3285
O 0.1706 0.3411 0.3285
O 0.1706 0.8294 0.3285
O 0.5000 0.0000 0.0000
O 0.0000 0.5000 0.0000
O 0.5000 0.5000 0.0000
CELL_PARAMETERS angstrom
5.4000 0.0000 0.0000
-2.7000 4.6765 0.0000
0.0000 0.0000 6.6172
! raw formation energy	-2719	meV/atom
! space-group type	P-3m1
! calculated density	6.80	g cm⁻³
! Fermi-level density of states	1.36	states/eV/cell

! Pr2AlCu2O6 (PBE, relaxed); values from VASP
&SYSTEM
  ibrav = 0, nat = 11, ntyp = 4
/
ATOMIC_SPECIES
Pr 140.91 Pr.upf
Al 26.98 Al.upf
Cu 63.55 Cu.upf
O 16.00 O.upf
ATOMIC_POSITIONS crystal
Pr 0.7848 0.7848 0.6456
Pr 0.2152 0.2152 0.3544
Al 0.0000 0.0000 0.0000
Cu 0.4145 0.4145 0.7565
Cu 0.5855 0.5855 0.2435
O 0.7698 0.7698 0.2549
O 0.2055 0.7698 0.2549
O 0.7698 0.2055 0.2549
O 0.2302 0.7945 0.7451
O 0.7945 0.2302 0.7451
O 0.2302 0.2302 0.7451
CELL_PARAMETERS angstrom
-0.0984 5.7438 -0.0093
-4.8552 2.7875 -1.2878
-2.9201 2.8297 4.3214
! raw formation energy	-2069	meV/atom
! space-group type	R-3m
! calculated density	6.28	g cm⁻³
! Fermi-level density of states	6.74	states/eV/cell

! Pr2AlCuO6 (PBE, relaxed); values from VASP
&SYSTEM
  ibrav = 0, nat = 20, ntyp = 4
/
ATOMIC_SPECIES
Pr 140.91 Pr.upf
Al 26.98 Al.upf
Cu 63.55 Cu.upf
O 16.00 O.upf
ATOMIC_POSITIONS crystal
Pr 0.0155 0.9736 0.2547
Pr 0.5155 0.5264 0.7547
Pr 0.9845 0.0264 0.7453
Pr 0.4845 0.4736 0.2453
Al 0.5000 0.0000 0.5000
Al 0.0000 0.5000 0.0000
Cu 0.5000 0.0000 0.0000
Cu 0.0000 0.5000 0.5000
O 0.2775 0.7311 0.0479
O 0.7775 0.7689 0.5479
O 0.7225 0.2689 0.9521
O 0.2225 0.2311 0.4521
O 0.2662 0.7245 0.4466
O 0.7662 0.7755 0.9466
O 0.7338 0.2755 0.5534
O 0.2338 0.2245 0.0534
O 0.9223 0.5086 0.2139
O 0.4223 0.9914 0.7139
O 0.0777 0.4914 0.7861
O 0.5777 0.0086 0.2861
CELL_PARAMETERS angstrom
5.3117 0.0000 0.0746
0.0000 5.2827 0.0000
0.1488 0.0000 8.4844
! raw formation energy	-2532	meV/atom
! space-group type	P2_1/c
! calculated density	6.53	g cm⁻³

! AlCuSO (PBE, relaxed); values from VASP
&SYSTEM
  ibrav = 0, nat = 8, ntyp = 4
/
ATOMIC_SPECIES
O 16.00 O.upf
S 32.06 S.upf
Al 26.98 Al.upf
Cu 63.55 Cu.upf
ATOMIC_POSITIONS crystal
O 0.0000 0.0000 0.0000
O 0.5000 0.5000 0.0000
S 0.0000 0.5000 0.6971
S 0.5000 0.0000 0.3029
Al 0.0000 0.5000 0.0992
Al 0.5000 0.0000 0.9008
Cu 0.0000 0.0000 0.5000
Cu 0.5000 0.5000 0.5000
CELL_PARAMETERS angstrom
-2.6195 -1.3177 1.9064
-0.5304 -2.4599 -2.4290
5.2907 -4.9445 3.8520
! raw formation energy	-1133	meV/atom
! space-group type	P4/nmm
! calculated density	4.59	g cm⁻³
! Fermi-level density of states	0.73	states/eV/cell

! AlCuSO (PBE, relaxed); values from VASP
&SYSTEM
  ibrav = 0, nat = 8, ntyp = 4
/
ATOMIC_SPECIES
O 16.00 O.upf
S 32.06 S.upf
Al 26.98 Al.upf
Cu 63.55 Cu.upf
ATOMIC_POSITIONS crystal
O 0.1610 0.7491 0.6164
O 0.6605 0.2492 0.6159
S 0.0549 0.0338 0.2962
S 0.2651 0.5336 0.0065
Al 0.3119 0.9140 0.4327
Al 0.0091 0.4140 0.6297
Cu 0.1601 0.0887 0.9564
Cu 0.6599 0.5887 0.9562
CELL_PARAMETERS angstrom
5.9162 0.0098 -0.0174
-3.1076 5.0352 0.0163
0.1454 -3.3864 4.8500
! raw formation energy	-1382	meV/atom
! space-group type	Cc
! calculated density	3.18	g cm⁻³
! Fermi-level density of states	0.00	states/eV/cell

! Al4Cu13Si2Sb2O28 (PBE, relaxed); values from VASP
&SYSTEM
  ibrav = 0, nat = 49, ntyp = 5
/
ATOMIC_SPECIES
Al 26.98 Al.upf
Cu 63.55 Cu.upf
Si 28.09 Si.upf
Sb 121.76 Sb.upf
O 16.00 O.upf
ATOMIC_POSITIONS crystal
Al 0.0761 0.1562 0.4268
Al 0.4900 0.8244 0.4291
Al 0.9249 0.8439 0.5709
Al 0.5110 0.1757 0.5687
Cu 0.9424 0.1333 0.7072
Cu 0.6643 0.8658 0.1407
Cu 0.3948 0.8572 0.7136
Cu 0.0577 0.8669 0.2908
Cu 0.3361 0.1344 0.8568
Cu 0.2761 0.4986 0.4188
Cu 0.1700 0.1491 0.1424
Cu 0.0003 0.5002 0.9989
Cu 0.4176 0.5027 0.1468
Cu 0.8310 0.8508 0.8553
Cu 0.6064 0.1429 0.2843
Cu 0.5836 0.4972 0.8506
Cu 0.7254 0.5013 0.5783
Si 0.2115 0.8176 0.0083
Si 0.7895 0.1826 0.9894
Sb 0.8437 0.5023 0.2810
Sb 0.1573 0.4978 0.7166
O 0.6412 0.9103 0.3013
O 0.1577 0.8793 0.4504
O 0.9054 0.8429 0.0043
O 0.2850 0.6196 0.0165
O 0.8433 0.1209 0.5473
O 0.3599 0.0897 0.6964
O 0.0056 0.6249 0.5890
O 0.9956 0.3752 0.4085
O 0.7159 0.3805 0.9812
O 0.1073 0.3882 0.1522
O 0.2589 0.8979 0.1242
O 0.0215 0.0982 0.2948
O 0.4252 0.3904 0.5846
O 0.6818 0.6326 0.1594
O 0.6297 0.1109 0.1085
O 0.0956 0.1573 0.9934
O 0.3192 0.3674 0.8381
O 0.8936 0.6118 0.8454
O 0.5760 0.6096 0.4130
O 0.1017 0.6389 0.2966
O 0.8991 0.3613 0.7009
O 0.3713 0.8893 0.8893
O 0.4337 0.6282 0.7292
O 0.6067 0.8537 0.5535
O 0.7420 0.1022 0.8735
O 0.5673 0.3719 0.2685
O 0.9794 0.9020 0.7029
O 0.3943 0.1464 0.4442
CELL_PARAMETERS angstrom
5.4361 -0.0306 -0.1405
1.3479 8.3701 0.1302
2.4164 0.2149 11.6847
! raw formation energy	-1374	meV/atom
! space-group type	P-1
! calculated density	5.22	g cm⁻³
! Fermi-level density of states	16.35	states/eV/cell

! Sc4AlCuO (PBE, relaxed); values from VASP
&SYSTEM
  ibrav = 0, nat = 14, ntyp = 4
/
ATOMIC_SPECIES
Sc 44.96 Sc.upf
Al 26.98 Al.upf
Cu 63.55 Cu.upf
O 16.00 O.upf
ATOMIC_POSITIONS crystal
Sc 0.9338 0.2500 0.8676
Sc 0.4157 0.7500 0.8313
Sc 0.0662 0.7500 0.1324
Sc 0.5843 0.2500 0.1687
Sc 0.5000 0.5000 0.5000
Sc 0.0000 0.0000 0.5000
Sc 0.5000 0.0000 0.5000
Sc 0.0000 0.5000 0.5000
Al 0.6168 0.7500 0.2336
Al 0.3832 0.2500 0.7664
Cu 0.1232 0.2500 0.2464
Cu 0.8768 0.7500 0.7536
O 0.2505 0.7500 0.5010
O 0.7495 0.2500 0.4990
CELL_PARAMETERS angstrom
-4.4697 -3.1454 -2.7519
3.5658 -4.9770 -0.1031
-0.2285 -0.3199 7.5402
! raw formation energy	-966	meV/atom
! space-group type	Cmcm
! calculated density	3.68	g cm⁻³
! Fermi-level density of states	5.42	states/eV/cell

! ScAl2CuO (PBE, relaxed); values from VASP
&SYSTEM
  ibrav = 0, nat = 5, ntyp = 4
/
ATOMIC_SPECIES
Sc 44.96 Sc.upf
O 16.00 O.upf
Al 26.98 Al.upf
Cu 63.55 Cu.upf
ATOMIC_POSITIONS crystal
Sc 0.5000 0.5000 0.5000
O 0.0000 0.5000 0.0000
Al 0.0000 0.0000 0.5000
Al 0.5000 0.0000 0.0000
Cu 0.0000 0.0000 0.0000
CELL_PARAMETERS angstrom
5.0367 0.0000 0.0000
0.0000 3.5176 0.0000
0.0000 0.0000 5.0367
! raw formation energy	-36	meV/atom
! space-group type	P4/mmm
! calculated density	3.32	g cm⁻³
! Fermi-level density of states	3.72	states/eV/cell

! AlCuSeO6 (PBE, relaxed); values from VASP
&SYSTEM
  ibrav = 0, nat = 18, ntyp = 4
/
ATOMIC_SPECIES
Al 26.98 Al.upf
Cu 63.55 Cu.upf
Se 78.96 Se.upf
O 16.00 O.upf
ATOMIC_POSITIONS crystal
Al 0.6667 0.3333 0.2500
Al 0.3333 0.6667 0.7500
Cu 0.0000 0.0000 0.0000
Cu 0.0000 0.0000 0.5000
Se 0.3333 0.6667 0.2500
Se 0.6667 0.3333 0.7500
O 0.6366 0.6481 0.1339
O 0.0115 0.3634 0.1339
O 0.3634 0.0115 0.6339
O 0.9885 0.6366 0.8661
O 0.3519 0.3634 0.3661
O 0.0115 0.6481 0.3661
O 0.6481 0.0115 0.8661
O 0.6366 0.9885 0.3661
O 0.9885 0.3519 0.6339
O 0.3519 0.9885 0.1339
O 0.6481 0.6366 0.6339
O 0.3634 0.3519 0.8661
CELL_PARAMETERS angstrom
-3.6437 -0.1497 -3.2221
3.1545 -3.6949 0.2791
-5.0424 -3.8606 5.8814
! raw formation energy	-1051	meV/atom
! space-group type	P-31c
! calculated density	4.97	g cm⁻³
! Fermi-level density of states	7.73	states/eV/cell